DFT (GGA-PBE) results for CdSbP2 after structural relaxation.

## Properties
Formation energy from raw total energies = 0.60 eV per atom

Cell and atoms, written as POSCAR:
```
CdSbP2
1.0
4.8599 0.0000 0.0000
2.4300 4.2088 0.0000
2.4300 1.4029 3.9681
Cd P Sb
1 2 1
direct
0.5000 0.5000 0.5000
0.0000 0.0000 0.0000
0.2500 0.2500 0.2500
0.7500 0.7500 0.7500
```